Ho2PH | PBE | relaxed

Calculated values
The calculation puts the density of states at the Fermi level at 2.61 states/eV per cell. As for the energy above the lowest structure with this stoichiometry: 97 meV per atom. The total DFT energy (no corrections) comes out at -0.383 Ry per atom. Its crystal system is trigonal.

Cell lengths 3.988, 3.988, 7.383 Å; angles 74.33, 74.33, 60.00 degrees
Site moments in Bohr magnetons follow the coordinates.
Sites, in units of the cell vectors:
Ho  0.096  0.096  0.711  0.22
Ho  0.904  0.904  0.289  0.22
P  0.500  0.500  0.500  -0.01
H  0.000  0.000  0.000  0.00

---

Ho12P3H5 | PBE | relaxed

Calculated values
The calculation puts the density of states at the Fermi level at 55.27 states/eV per cell. The total DFT energy (no corrections) comes out at -0.363 Ry per atom. Its crystal system is cubic.

Cell lengths 12.864, 12.864, 12.864 Å; angles 109.47, 109.47, 109.47 degrees
Sites, in units of the cell vectors:
Ho  0.525  0.309  0.906
P  0.875  0.125  0.250
P  0.625  0.250  0.375
Ho  0.882  0.284  0.475
Ho  0.191  0.094  0.975
Ho  0.284  0.403  0.809
H  0.750  0.625  0.375
Ho  0.597  0.882  0.406
H  0.000  0.500  0.500
Ho  0.809  0.906  0.025
Ho  0.716  0.118  0.025
P  0.125  0.250  0.875
H  0.000  0.500  0.000
Ho  0.475  0.784  0.882
Ho  0.309  0.525  0.406
Ho  0.406  0.025  0.309
Ho  0.025  0.618  0.716
H  0.250  0.375  0.625
Ho  0.118  0.403  0.094
H  0.000  0.000  0.000
Ho  0.975  0.382  0.284
Ho  0.784  0.309  0.903
Ho  0.594  0.975  0.691
Ho  0.906  0.809  0.525
Ho  0.403  0.284  0.309
Ho  0.525  0.216  0.118
Ho  0.975  0.594  0.191
Ho  0.382  0.975  0.784
Ho  0.903  0.094  0.618
H  0.375  0.125  0.750
Ho  0.784  0.475  0.382
H  0.125  0.750  0.375
Ho  0.716  0.597  0.191
Ho  0.809  0.903  0.284
Ho  0.309  0.784  0.403
Ho  0.475  0.691  0.094
H  0.000  0.000  0.500
Ho  0.118  0.716  0.525
Ho  0.597  0.716  0.691
Ho  0.618  0.594  0.903
Ho  0.406  0.382  0.597
P  0.375  0.750  0.625
Ho  0.216  0.525  0.618
H  0.500  0.500  0.500
P  0.375  0.625  0.250
H  0.125  0.375  0.250
H  0.375  0.250  0.125
P  0.250  0.125  0.375
H  0.875  0.250  0.625
Ho  0.594  0.618  0.403
P  0.875  0.750  0.125
H  0.250  0.875  0.125
H  0.625  0.875  0.250
Ho  0.216  0.691  0.097
P  0.625  0.375  0.750
P  0.250  0.625  0.875
P  0.750  0.875  0.625
P  0.750  0.375  0.125
Ho  0.025  0.406  0.809
H  0.500  0.000  0.500
Ho  0.382  0.406  0.097
H  0.500  0.500  0.000
Ho  0.691  0.216  0.597
H  0.500  0.000  0.000
H  0.625  0.750  0.875
H  0.750  0.125  0.875
Ho  0.403  0.118  0.594
Ho  0.094  0.903  0.118
H  0.875  0.625  0.750
Ho  0.691  0.475  0.594
Ho  0.284  0.882  0.975
Ho  0.094  0.191  0.475
Ho  0.097  0.906  0.382
Ho  0.618  0.025  0.216
Ho  0.906  0.097  0.882
Ho  0.882  0.597  0.906
Ho  0.097  0.191  0.216
Ho  0.191  0.097  0.716
Ho  0.903  0.809  0.784
P  0.125  0.875  0.750

---

HoPHRh | PBE | relaxed

Calculated values
The calculation puts the density of states at the Fermi level at 3.03 states/eV per cell. The total DFT energy (no corrections) comes out at -0.453 Ry per atom. Its crystal system is tetragonal.

Cell lengths 3.911, 3.911, 7.182 Å; angles 90.00, 90.00, 90.00 degrees
Sites, in units of the cell vectors:
Ho  0.500  0.000  0.657
P  0.500  0.000  0.198
H  0.500  0.500  0.500
Rh  0.500  0.500  0.000
H  0.000  0.000  0.500
Rh  0.000  0.000  0.000
P  0.000  0.500  0.802
Ho  0.000  0.500  0.343

---

HoPHRh2 | PBE | relaxed

Calculated values
The calculation puts the density of states at the Fermi level at 3.57 states/eV per cell. The total DFT energy (no corrections) comes out at -0.479 Ry per atom. Its crystal system is orthorhombic.

Cell lengths 3.761, 5.561, 7.049 Å; angles 90.00, 90.00, 109.76 degrees
Sites, in units of the cell vectors:
Rh  0.161  0.321  0.554
Ho  0.445  0.890  0.750
P  0.725  0.451  0.750
Rh  0.839  0.679  0.446
Rh  0.839  0.679  0.054
H  0.000  0.000  0.500
Ho  0.555  0.110  0.250
H  0.000  0.000  0.000
P  0.275  0.549  0.250
Rh  0.161  0.321  0.946

---

HoPH2Ru | PBE | relaxed

Calculated values
The calculation puts the density of states at the Fermi level at 2.97 states/eV per cell. The total DFT energy (no corrections) comes out at -0.434 Ry per atom. Its crystal system is orthorhombic.

Cell lengths 3.813, 5.317, 5.984 Å; angles 90.00, 90.00, 111.01 degrees
Sites, in units of the cell vectors:
H  0.829  0.659  0.063
Ho  0.715  0.429  0.750
Ru  0.000  0.000  0.500
P  0.568  0.136  0.250
H  0.171  0.341  0.937
H  0.171  0.341  0.563
Ru  0.000  0.000  0.000
Ho  0.285  0.571  0.250
P  0.432  0.864  0.750
H  0.829  0.659  0.437

---

HoPHRu | PBE | relaxed

Calculated values
The calculation puts the density of states at the Fermi level at 4.16 states/eV per cell. The total DFT energy (no corrections) comes out at -0.485 Ry per atom. Its crystal system is tetragonal.

Cell lengths 3.989, 3.989, 7.105 Å; angles 90.00, 90.00, 90.00 degrees
Sites, in units of the cell vectors:
P  0.500  0.000  0.174
P  0.000  0.500  0.826
Ho  0.500  0.000  0.661
H  0.500  0.500  0.500
H  0.000  0.000  0.500
Ru  0.000  0.000  0.000
Ru  0.500  0.500  0.000
Ho  0.000  0.500  0.339